No. 1
Compound: P5Os3
Source: Alexandria via LeMat-Bulk
Functional: PBE
Structure: optimized geometry

POSCAR file:
```
P5Os3
1.0
0.000 6.009 6.023
3.591 0.000 6.023
3.591 6.009 0.000
P Os
10 6
Direct
0.094 0.320 0.680
0.179 0.594 0.406
0.250 0.750 0.750
0.320 0.094 0.906
0.406 0.821 0.179
0.594 0.179 0.821
0.680 0.906 0.094
0.750 0.250 0.250
0.821 0.406 0.594
0.906 0.680 0.320
0.119 0.881 0.119
0.250 0.250 0.250
0.382 0.382 0.618
0.618 0.618 0.382
0.750 0.750 0.750
0.881 0.119 0.881
```

## Properties
The calculation puts the energy above the most stable polymorph in this dataset at 0.0 kJ per mole of atoms. The total energy comes out at -7.426 eV per atom. For the energy of formation from the pure elements, the calculation gives 16.1 kJ/mol of atoms.

---

No. 2
Compound: P3Os
Source: Alexandria via LeMat-Bulk
Functional: PBE
Structure: optimized geometry

POSCAR file:
```
P3Os
1.0
2.944 0.000 0.000
0.000 3.696 0.000
0.000 0.000 6.041
P Os
3 1
Direct
0.000 0.000 0.000
0.000 0.500 0.227
0.500 0.500 0.622
0.500 0.000 0.337
```

## Properties
The calculation puts the energy above the most stable polymorph in this dataset at 43.8 kJ per mole of atoms. The total energy comes out at -6.498 eV per atom. For the energy of formation from the pure elements, the calculation gives 35.4 kJ/mol of atoms.

---

No. 3
Compound: P3Os
Source: Alexandria via LeMat-Bulk
Functional: PBE
Structure: optimized geometry

POSCAR file:
```
P3Os
1.0
6.007 0.000 0.000
0.000 6.007 0.000
0.000 0.000 6.007
P Os
12 4
Direct
0.000 0.000 0.000
0.000 0.500 0.500
0.250 0.250 0.250
0.250 0.250 0.750
0.250 0.750 0.250
0.250 0.750 0.750
0.500 0.000 0.500
0.500 0.500 0.000
0.750 0.250 0.250
0.750 0.250 0.750
0.750 0.750 0.250
0.750 0.750 0.750
0.000 0.000 0.500
0.000 0.500 0.000
0.500 0.000 0.000
0.500 0.500 0.500
```

## Properties
The calculation puts the energy above the most stable polymorph in this dataset at 62.1 kJ per mole of atoms. The total energy comes out at -6.308 eV per atom. For the energy of formation from the pure elements, the calculation gives 53.8 kJ/mol of atoms.

---

No. 4
Compound: POs2
Source: Alexandria via LeMat-Bulk
Functional: PBE
Structure: optimized geometry

POSCAR file:
```
POs2
1.0
0.000 3.657 3.657
3.657 0.000 3.657
3.657 3.657 0.000
P Os
2 4
Direct
0.125 0.125 0.125
0.875 0.875 0.875
0.000 0.500 0.500
0.500 0.000 0.500
0.500 0.500 0.000
0.500 0.500 0.500
```

## Properties
The total energy comes out at -7.983 eV per atom. For the energy of formation from the pure elements, the calculation gives 126.1 kJ/mol of atoms.